Entry 1:
# Gd2HoAl3AgGe2 | OQMD via LeMat-Bulk | PBE-GGA | optimized geometry
# Final energy ... -85.53 eV per cell
# ρ ... 7.3 g cm⁻³
data_Gd2HoAl3AgGe2
_cell_length_a 4.2876
_cell_length_b 12.2528
_cell_length_c 7.0891
_cell_angle_alpha 90.00
_cell_angle_beta 90.00
_cell_angle_gamma 90.00
_space_group_name_H-M_alt 'A m m 2'
_space_group_IT_number 38
loop_
_space_group_symop_operation_xyz
'x,y,z'
'-x,-y,z'
'-x,y,z'
'x,-y,z'
'x,y+1/2,z+1/2'
'-x,-y+1/2,z+1/2'
'-x,y+1/2,z+1/2'
'x,-y+1/2,z+1/2'
loop_
_atom_site_label
_atom_site_fract_x
_atom_site_fract_y
_atom_site_fract_z
Gd1 0.0000 0.2064 0.0000
Ho1 0.0000 0.0000 0.6200
Al1 0.5000 0.0000 0.9677
Al2 0.5000 0.1196 0.3273
Ag1 0.0000 0.0000 0.2106
Ge1 0.5000 0.1650 0.7061


Entry 2:
# TbSnBi | OQMD via LeMat-Bulk | PBE-GGA | optimized geometry
# Final energy ... -52.47 eV per cell
# ρ ... 8.0 g cm⁻³
data_TbSnBi
_cell_length_a 7.4010
_cell_length_b 7.4010
_cell_length_c 7.4010
_cell_angle_alpha 90.00
_cell_angle_beta 90.00
_cell_angle_gamma 90.00
_space_group_name_H-M_alt 'F -4 3 m'
_space_group_IT_number 216
_space_group_name_Hall 'F -4 2 3'
loop_
_atom_site_label
_atom_site_fract_x
_atom_site_fract_y
_atom_site_fract_z
Tb1 0.0000 0.0000 0.0000
Sn1 0.2500 0.2500 0.7500
Bi1 0.0000 0.0000 0.5000


Entry 3:
# ScAl2Os | OQMD via LeMat-Bulk | PBE-GGA | optimized geometry
# Final energy ... -105.95 eV per cell
# ρ ... 7.6 g cm⁻³
data_ScAl2Os
_cell_length_a 6.3166
_cell_length_b 6.3166
_cell_length_c 6.3166
_cell_angle_alpha 90.00
_cell_angle_beta 90.00
_cell_angle_gamma 90.00
_space_group_name_H-M_alt 'F -4 3 m'
_space_group_IT_number 216
_space_group_name_Hall 'F -4 2 3'
loop_
_atom_site_label
_atom_site_fract_x
_atom_site_fract_y
_atom_site_fract_z
Sc1 0.0000 0.0000 0.0000
Al1 0.0000 0.0000 0.5000
Al2 0.2500 0.2500 0.7500
Os1 0.2500 0.2500 0.2500


Entry 4:
# Fe2Si2Mo3 | OQMD via LeMat-Bulk | PBE-GGA | optimized geometry
# Final energy ... -182.58 eV per cell
# ρ ... 8.2 g cm⁻³
data_Fe2Si2Mo3
_cell_length_a 4.2041
_cell_length_b 4.2041
_cell_length_c 18.0912
_cell_angle_alpha 90.00
_cell_angle_beta 90.00
_cell_angle_gamma 120.00
_space_group_name_H-M_alt 'R 3 m'
_space_group_IT_number 160
_space_group_name_Hall 'R 3 -2"'
loop_
_atom_site_label
_atom_site_fract_x
_atom_site_fract_y
_atom_site_fract_z
Fe1 0.0000 0.0000 0.0000
Fe2 0.0000 0.0000 0.4222
Si1 0.0000 0.0000 0.1338
Si2 0.0000 0.0000 0.7084
Mo1 0.0000 0.0000 0.2880
Mo2 0.0000 0.0000 0.5661
Mo3 0.0000 0.0000 0.8485


Entry 5:
# HoTaTl | OQMD via LeMat-Bulk | PBE-GGA | optimized geometry
# Final energy ... -65.86 eV per cell
# ρ ... 11.5 g cm⁻³
data_HoTaTl
_cell_length_a 6.8317
_cell_length_b 6.8317
_cell_length_c 6.8317
_cell_angle_alpha 90.00
_cell_angle_beta 90.00
_cell_angle_gamma 90.00
_space_group_name_H-M_alt 'F -4 3 m'
_space_group_IT_number 216
_space_group_name_Hall 'F -4 2 3'
loop_
_atom_site_label
_atom_site_fract_x
_atom_site_fract_y
_atom_site_fract_z
Ho1 0.0000 0.0000 0.0000
Ta1 0.0000 0.0000 0.5000
Tl1 0.2500 0.2500 0.2500


Entry 6:
# YAlFeAg | OQMD via LeMat-Bulk | PBE-GGA | optimized geometry
# Final energy ... -84.85 eV per cell
# ρ ... 6.1 g cm⁻³
data_YAlFeAg
_cell_length_a 6.7199
_cell_length_b 6.7199
_cell_length_c 6.7199
_cell_angle_alpha 90.00
_cell_angle_beta 90.00
_cell_angle_gamma 90.00
_space_group_name_H-M_alt 'F -4 3 m'
_space_group_IT_number 216
_space_group_name_Hall 'F -4 2 3'
loop_
_atom_site_label
_atom_site_fract_x
_atom_site_fract_y
_atom_site_fract_z
Y1 0.0000 0.0000 0.0000
Al1 0.2500 0.2500 0.2500
Fe1 0.0000 0.0000 0.5000
Ag1 0.2500 0.2500 0.7500


Entry 7:
# NbCuGePt | OQMD via LeMat-Bulk | PBE-GGA | optimized geometry
# Final energy ... -98.62 eV per cell
# ρ ... 11.2 g cm⁻³
data_NbCuGePt
_cell_length_a 6.3204
_cell_length_b 6.3204
_cell_length_c 6.3204
_cell_angle_alpha 90.00
_cell_angle_beta 90.00
_cell_angle_gamma 90.00
_space_group_name_H-M_alt 'F -4 3 m'
_space_group_IT_number 216
_space_group_name_Hall 'F -4 2 3'
loop_
_atom_site_label
_atom_site_fract_x
_atom_site_fract_y
_atom_site_fract_z
Nb1 0.0000 0.0000 0.0000
Cu1 0.2500 0.2500 0.7500
Ge1 0.0000 0.0000 0.5000
Pt1 0.2500 0.2500 0.2500


Entry 8:
# Dy3Cd4In2 | OQMD via LeMat-Bulk | PBE-GGA | optimized geometry
# Final energy ... -52.63 eV per cell
# ρ ... 8.7 g cm⁻³
data_Dy3Cd4In2
_cell_length_a 11.0380
_cell_length_b 4.9297
_cell_length_c 9.2809
_cell_angle_alpha 90.00
_cell_angle_beta 118.39
_cell_angle_gamma 90.00
_space_group_name_H-M_alt 'C 1 2/m 1'
_space_group_IT_number 12
loop_
_space_group_symop_operation_xyz
'x,y,z'
'-x,-y,-z'
'-x,y,-z'
'x,-y,z'
'x+1/2,y+1/2,z'
'-x+1/2,-y+1/2,-z'
'-x+1/2,y+1/2,-z'
'x+1/2,-y+1/2,z'
loop_
_atom_site_label
_atom_site_fract_x
_atom_site_fract_y
_atom_site_fract_z
Dy1 0.0000 0.0000 0.0000
Dy2 0.1658 0.5000 0.6702
Cd1 0.0743 0.0000 0.4100
Cd2 0.2068 0.5000 0.0362
In1 0.1089 0.5000 0.2739